Entry 1:
## SbTe2AsF (PBE)

Data for a relaxed structure of SbTe2AsF.

POSCAR file:
```
SbTe2AsF
1.0
-2.787 4.583 -1.022
-2.097 -2.278 -4.497
-3.304 -1.496 2.298
Sb As Te F
1 1 2 1
Cartesian
-1.652 -0.748 1.149
-4.094 0.404 -1.611
-1.049 -1.139 -2.249
-1.393 2.292 -0.511
0.000 0.000 0.000
```

Properties
- Theoretical density: 6.108 g cm⁻³
- E_form (uncorrected): 1.043 eV/f.u.
- Total magnetization: 0.000 μB per atom
- Crystal system: tetragonal

Entry 2:
## TmPuSnPd (PBE)

Data for a relaxed structure of TmPuSnPd.

POSCAR file:
```
TmPuSnPd
1.0
5.156 0.000 0.000
2.578 4.465 0.000
2.578 1.488 4.210
Tm Sn Pd Pu
1 1 1 1
Cartesian
0.000 0.000 0.000
2.578 1.488 1.052
7.734 4.465 3.157
5.156 2.977 2.105
```

Properties
- Theoretical density: 10.932 g cm⁻³
- ΔE_f: -0.492 eV/atom
- Total magnetization: 1.351 μB per atom
- Crystal system: cubic

Entry 3:
## LaNd4Zn5 (PBE)

Data for a relaxed structure of LaNd4Zn5.

POSCAR file:
```
LaNd4Zn5
1.0
-0.450 1.185 -3.479
-3.667 -0.380 0.345
-1.232 17.431 6.096
La Nd Zn
1 4 5
Cartesian
0.000 0.000 0.000
-0.249 3.529 1.234
-0.494 6.985 2.443
-0.738 10.446 3.653
-0.982 13.901 4.862
-2.188 2.228 -0.929
-2.430 5.656 0.270
-2.674 9.118 1.481
-2.919 12.580 2.692
-3.161 16.008 3.890
```

Properties
- Theoretical density: 6.825 g cm⁻³
- ΔE_f: -0.305 eV/atom
- Total magnetization: 0.000 μB per atom
- Crystal system: tetragonal